# 1
A geometry-optimized TbNdSm3Er structure. Source: Alexandria via LeMat-Bulk, functional GGA-PBE.

a b c (Å): 5.8291 6.5044 11.7646
angles (deg): 90.00 90.00 116.62
Last column: nearest neighbours and their distance in Å.
Element x y z (fractional)
Er1 0.1714 0.3429 0.2500  3 Nd 3.50-3.72, 9 Sm 3.54-3.88, 2 Tb 3.55
Er2 0.8286 0.6571 0.7500  3 Nd 3.50-3.72, 9 Sm 3.54-3.88, 2 Tb 3.55
Sm1 0.1326 0.2653 0.7500  2 Nd 3.16, 2 Tb 3.32, 2 Sm 3.41, 1 Er 3.54
Sm2 0.3262 0.6523 0.5328  3 Sm 3.41-3.50, 2 Nd 3.47-3.74, 3 Tb 3.57-3.81, 1 Er 3.78
Sm3 0.3262 0.6523 0.9672  3 Sm 3.41-3.50, 2 Nd 3.47-3.74, 3 Tb 3.57-3.81, 1 Er 3.78
Sm4 0.8674 0.7347 0.2500  2 Nd 3.16, 2 Tb 3.32, 2 Sm 3.41, 1 Er 3.54
Sm5 0.6738 0.3477 0.0328  3 Sm 3.41-3.50, 2 Nd 3.47-3.74, 3 Tb 3.57-3.81, 1 Er 3.78
Sm6 0.6738 0.3477 0.4672  3 Sm 3.41-3.50, 2 Nd 3.47-3.74, 3 Tb 3.57-3.81, 1 Er 3.78
Tb1 0.0000 0.0000 0.0000  6 Sm 3.32-3.57, 2 Er 3.55
Tb2 0.0000 0.0000 0.5000  6 Sm 3.32-3.57, 2 Er 3.55
Nd1 0.5276 0.0552 0.7500  4 Sm 3.16-3.47, 1 Er 3.50
Nd2 0.4724 0.9448 0.2500  4 Sm 3.16-3.47, 1 Er 3.50

**N(E_F)**: 21.11 states/eV per cell
**M_tot**: 0.0000 μB/atom
**ΔH_f (0 K)**: 120 meV/atom



# 2
A geometry-optimized Be2PtSe structure. Source: Alexandria via LeMat-Bulk, functional GGA-PBE.

a b c (Å): 6.6422 4.0682 3.1680
angles (deg): 91.04 60.05 128.46
Last column: nearest neighbours and their distance in Å.
Element x y z (fractional)
Se1 0.5000 0.5000 0.0000  8 Be 2.56-2.60
Be1 0.5000 0.0000 0.5000  4 Se 2.56-2.60, 4 Pt 2.56-2.60
Be2 0.0000 0.0000 0.0000  4 Pt 2.56-2.60, 4 Se 2.56-2.60
Pt1 0.0000 0.5000 0.5000  8 Be 2.56-2.60

**N(E_F)**: 0.49 states/eV per cell
**Formation energy (no corrections)**: -3 meV per atom
**M_tot**: 0.0000 μB/atom



# 3
A geometry-optimized NiHgSb structure. Source: Alexandria via LeMat-Bulk, functional GGA-PBE.

a b c (Å): 4.4374 4.4374 4.4374
angles (deg): 60.00 60.00 60.00
Last column: nearest neighbours and their distance in Å.
Element x y z (fractional)
Ni1 0.7500 0.7500 0.7500  4 Sb 2.72, 4 Hg 2.72
Sb1 0.0000 0.0000 0.0000  4 Ni 2.72
Hg1 0.5000 0.5000 0.5000  4 Ni 2.72

**N(E_F)**: 2.07 states/eV per cell
**Formation energy (no corrections)**: 13 meV per atom
**M_tot**: 0.0000 μB/atom



# 4
A geometry-optimized HoCd2Ag8 structure. Source: Alexandria via LeMat-Bulk, functional GGA-PBE.

a b c (Å): 4.3755 6.7251 7.8364
angles (deg): 106.33 106.21 90.00
Last column: nearest neighbours and their distance in Å.
Element x y z (fractional)
Ho1 0.5000 0.0000 0.0000  12 Ag 3.01-3.07
Ag1 0.3152 0.0876 0.6303  3 Cd 2.88-3.02, 8 Ag 2.91-3.10, 1 Ho 3.01
Ag2 0.0456 0.7238 0.0912  9 Ag 2.92-3.04, 1 Cd 2.94, 2 Ho 3.07
Ag3 0.9544 0.2762 0.9088  9 Ag 2.92-3.04, 1 Cd 2.94, 2 Ho 3.07
Ag4 0.1373 0.1908 0.2745  3 Cd 2.96-2.97, 7 Ag 2.96-3.10, 2 Ho 3.02
Ag5 0.5925 0.4664 0.1850  8 Ag 2.91-3.07, 3 Cd 2.99-3.01, 1 Ho 3.04
Ag6 0.6848 0.9124 0.3697  3 Cd 2.88-3.02, 8 Ag 2.91-3.10, 1 Ho 3.01
Ag7 0.8627 0.8092 0.7255  3 Cd 2.96-2.97, 7 Ag 2.96-3.10, 2 Ho 3.02
Ag8 0.4075 0.5336 0.8150  8 Ag 2.91-3.07, 3 Cd 2.99-3.01, 1 Ho 3.04
Cd1 0.2279 0.6446 0.4558  10 Ag 2.88-3.02, 2 Cd 3.13
Cd2 0.7721 0.3554 0.5442  10 Ag 2.88-3.02, 2 Cd 3.13

**N(E_F)**: 3.41 states/eV per cell
**M_tot**: 0.0000 μB/atom
**ΔH_f (0 K)**: -98 meV/atom



# 5
A geometry-optimized Cs2CaH4 structure. Source: Alexandria via LeMat-Bulk, functional GGA-PBE.

a b c (Å): 3.8687 7.2913 11.9894
angles (deg): 90.00 90.00 90.00
Last column: nearest neighbours and their distance in Å.
Element x y z (fractional)
H1 0.0000 0.8715 0.3292  1 Ca 2.25
H2 0.5000 0.1827 0.4511  2 Ca 2.42
H3 0.0000 0.6285 0.8292  1 Ca 2.25
H4 0.5000 0.6827 0.0489  2 Ca 2.42
H5 0.5000 0.3173 0.9511  2 Ca 2.42
H6 0.0000 0.3715 0.1708  1 Ca 2.25
H7 0.0000 0.1285 0.6708  1 Ca 2.25
H8 0.5000 0.8173 0.5489  2 Ca 2.42
Cs1 0.5000 0.5587 0.3226  6 H 2.99-3.30
Cs2 0.5000 0.9413 0.8226  6 H 2.99-3.30
Cs3 0.5000 0.4413 0.6774  6 H 2.99-3.30
Cs4 0.5000 0.0587 0.1774  6 H 2.99-3.30
Ca1 0.0000 0.0000 0.5000  6 H 2.25-2.42
Ca2 0.0000 0.5000 0.0000  6 H 2.25-2.42

**N(E_F)**: 0.00 states/eV per cell
**M_tot**: 0.0000 μB/atom
**DFT total energy**: -2.7397 eV per atom



# 6
A geometry-optimized NaMg3Sn structure. Source: Alexandria via LeMat-Bulk, functional GGA-PBE.

a b c (Å): 5.2694 5.2694 5.2694
angles (deg): 90.00 90.00 90.00
Last column: nearest neighbours and their distance in Å.
Element x y z (fractional)
Mg1 0.5000 0.0000 0.0000  2 Na 2.63
Mg2 0.0000 0.5000 0.0000  2 Na 2.63
Mg3 0.0000 0.0000 0.5000  2 Na 2.63
Sn1 0.5000 0.5000 0.5000  12 Mg 3.73
Na1 0.0000 0.0000 0.0000  6 Mg 2.63

**N(E_F)**: 2.46 states/eV per cell
**M_tot**: 0.0000 μB/atom
**ΔH_f (0 K)**: 633 meV/atom



# 7
A geometry-optimized CoSbAs2 structure. Source: Alexandria via LeMat-Bulk, functional GGA-PBE.

a b c (Å): 3.6512 4.6702 4.9483
angles (deg): 74.93 90.00 90.00
Last column: nearest neighbours and their distance in Å.
Element x y z (fractional)
Co1 0.0000 0.5297 0.4371  3 As 2.25-2.35
As1 0.0000 0.9342 0.0724  1 Co 2.25
As2 0.5000 0.2860 0.2979  2 Co 2.35
Sb1 0.5000 0.7501 0.6926  2 Co 2.58, 1 As 2.75

**N(E_F)**: 2.92 states/eV per cell
**Formation energy (no corrections)**: 152 meV per atom
**M_tot**: 0.0001 μB/atom



# 8
A geometry-optimized ZrTiCo2 structure. Source: Alexandria via LeMat-Bulk, functional GGA-PBE.

a b c (Å): 4.2370 4.8230 5.7967
angles (deg): 90.00 90.00 90.00
Last column: nearest neighbours and their distance in Å.
Element x y z (fractional)
Ti1 0.5000 0.7129 0.5000  6 Co 2.44-2.54
Ti2 0.0000 0.2871 0.0000  6 Co 2.44-2.54
Co1 0.0000 0.6857 0.7408  3 Ti 2.44-2.54, 2 Zr 2.67
Co2 0.0000 0.6857 0.2592  3 Ti 2.44-2.54, 2 Zr 2.67
Co3 0.5000 0.3143 0.2408  3 Ti 2.44-2.54, 2 Zr 2.67
Co4 0.5000 0.3143 0.7592  3 Ti 2.44-2.54, 2 Zr 2.67
Zr1 0.5000 0.8114 0.0000  8 Co 2.67-2.80, 2 Ti 2.94
Zr2 0.0000 0.1886 0.5000  8 Co 2.67-2.80, 2 Ti 2.94

**N(E_F)**: 5.74 states/eV per cell
**M_tot**: 0.0002 μB/atom
**ΔH_f (0 K)**: -308 meV/atom